A plane-wave DFT calculation with GGA-PBE was carried out for crystalline TiCo6H3 at its relaxed geometry.

Computed properties:
- VASP energy: -5.962 eV/atom
- Magnetic moment: 6.26 μB/f.u.

POSCAR file:
```
TiCo6H3
1.0
0.881 -4.855 -0.874
3.754 3.019 1.381
-2.622 1.364 4.146
Co H Ti
6 3 1
Direct
0.818 0.381 0.728
0.291 0.910 0.728
0.422 0.418 0.234
0.346 0.436 0.728
0.230 0.812 0.234
0.816 0.004 0.234
0.644 0.322 0.965
0.300 0.150 0.450
0.312 0.656 0.968
0.821 0.911 0.732
```

A plane-wave DFT calculation with GGA-PBE was carried out for crystalline Ti4CoH at its relaxed geometry.

Computed properties:
- VASP energy: -7.126 eV/atom
- Magnetic moment: 0.00 μB/f.u.

POSCAR file:
```
Ti4CoH
1.0
-2.811 4.169 -2.485
-3.733 -3.740 -2.051
-2.437 -0.090 4.600
Ti H Co
8 2 2
Direct
0.606 0.140 0.824
0.170 0.838 0.637
0.106 0.360 0.824
0.894 0.640 0.176
0.670 0.662 0.637
0.394 0.860 0.176
0.830 0.162 0.363
0.330 0.338 0.363
0.500 0.000 0.500
0.000 0.500 0.500
0.000 0.000 0.000
0.500 0.500 0.000
```

A plane-wave DFT calculation with GGA-PBE was carried out for crystalline TiCo2H3 at its relaxed geometry.

Computed properties:
- VASP energy: -5.568 eV/atom
- Magnetic moment: 0.71 μB/f.u.

POSCAR file:
```
TiCo2H3
1.0
-2.684 2.506 -0.922
-3.617 -4.065 -0.524
-1.985 0.757 7.836
Ti Co H
4 8 12
Direct
0.250 0.346 0.411
0.750 0.154 0.911
0.250 0.846 0.089
0.750 0.654 0.589
0.250 0.372 0.078
0.750 0.128 0.578
0.250 0.370 0.740
0.250 0.870 0.760
0.750 0.130 0.240
0.750 0.628 0.922
0.750 0.630 0.260
0.250 0.872 0.422
0.250 0.106 0.905
0.250 0.088 0.594
0.250 0.606 0.595
0.250 0.142 0.221
0.750 0.912 0.406
0.250 0.642 0.279
0.250 0.588 0.906
0.750 0.358 0.721
0.750 0.412 0.094
0.750 0.858 0.779
0.750 0.394 0.405
0.750 0.894 0.095
```

A plane-wave DFT calculation with GGA-PBE was carried out for crystalline TiCo3H4 at its relaxed geometry.

Computed properties:
- VASP energy: -5.521 eV/atom
- Magnetic moment: 0.62 μB/f.u.

POSCAR file:
```
TiCo3H4
1.0
-2.474 -3.638 -1.374
-4.483 0.950 0.495
3.413 2.327 -2.045
H Co Ti
4 3 1
Direct
0.500 0.000 0.500
0.271 0.271 0.000
0.729 0.729 0.000
0.000 0.500 0.500
0.750 0.250 0.500
0.500 0.500 0.000
0.250 0.750 0.500
0.000 0.000 0.000
```

A plane-wave DFT calculation with GGA-PBE was carried out for crystalline Ti2CoH8 at its relaxed geometry.

Computed properties:
- VASP energy: -4.683 eV/atom
- Magnetic moment: 0.00 μB/f.u.

POSCAR file:
```
Ti2CoH8
1.0
2.981 0.000 0.000
0.000 3.879 -0.101
-1.490 -1.773 5.648
H Ti Co
8 2 1
Direct
0.000 0.241 0.000
0.766 0.765 0.532
0.620 0.350 0.240
0.379 0.109 0.759
0.000 0.759 0.000
0.621 0.891 0.241
0.234 0.235 0.468
0.380 0.650 0.760
0.152 0.651 0.305
0.848 0.349 0.695
0.500 0.000 0.000
```

A plane-wave DFT calculation with GGA-PBE was carried out for crystalline Ti3CoH4 at its relaxed geometry.

Computed properties:
- VASP energy: -5.784 eV/atom
- Magnetic moment: 0.00 μB/f.u.

POSCAR file:
```
Ti3CoH4
1.0
4.876 0.000 0.000
0.000 5.319 0.000
0.000 0.000 5.529
H Ti Co
8 6 2
Direct
0.167 0.816 0.500
0.667 0.184 0.000
0.127 0.298 0.233
0.627 0.702 0.733
0.095 0.861 0.000
0.127 0.298 0.767
0.627 0.702 0.267
0.595 0.139 0.500
0.004 0.633 0.750
0.504 0.367 0.250
0.988 0.124 0.500
0.504 0.367 0.750
0.004 0.633 0.250
0.488 0.876 0.000
0.502 0.848 0.500
0.002 0.152 0.000
```

A plane-wave DFT calculation with GGA-PBE was carried out for crystalline Ti5Co2H2 at its relaxed geometry.

Computed properties:
- VASP energy: -6.894 eV/atom
- Magnetic moment: 0.46 μB/f.u.

POSCAR file:
```
Ti5Co2H2
1.0
-4.974 -0.314 -2.833
0.193 -5.529 0.275
-1.205 3.109 7.571
Ti Co H
10 4 4
Direct
0.574 0.617 0.304
0.158 0.717 0.500
0.230 0.195 0.958
0.842 0.217 0.500
0.426 0.313 0.696
0.771 0.737 0.042
0.770 0.813 0.696
0.230 0.117 0.304
0.770 0.237 0.042
0.229 0.695 0.958
0.866 0.370 0.808
0.558 0.062 0.192
0.442 0.870 0.808
0.134 0.562 0.192
0.500 0.465 0.000
0.000 0.965 0.000
0.151 0.359 0.500
0.849 0.859 0.500
```

A plane-wave DFT calculation with GGA-PBE was carried out for crystalline TiCoH3 at its relaxed geometry.

Computed properties:
- VASP energy: -5.255 eV/atom
- Magnetic moment: 0.00 μB/f.u.

POSCAR file:
```
TiCoH3
1.0
3.231 0.000 0.000
0.000 3.231 0.000
0.000 0.000 3.231
H Co Ti
3 1 1
Direct
0.500 0.000 0.000
0.000 0.500 0.000
0.000 0.000 0.500
0.000 0.000 0.000
0.500 0.500 0.500
```

A plane-wave DFT calculation with GGA-PBE was carried out for crystalline TiCo3H3 at its relaxed geometry.

Computed properties:
- VASP energy: -5.711 eV/atom
- Magnetic moment: 1.97 μB/f.u.

POSCAR file:
```
TiCo3H3
1.0
-4.304 1.806 1.124
-1.808 -4.442 0.213
1.120 -0.232 4.662
H Co Ti
6 6 2
Direct
0.250 0.000 0.500
0.500 0.750 0.000
0.500 0.250 0.000
0.750 0.000 0.500
0.000 0.500 0.250
0.000 0.500 0.750
0.250 0.500 0.000
0.750 0.500 0.000
0.500 0.000 0.750
0.000 0.250 0.500
0.500 0.000 0.250
0.000 0.750 0.500
0.000 0.000 0.000
0.500 0.500 0.500
```

A plane-wave DFT calculation with GGA-PBE was carried out for crystalline TiCo2H at its relaxed geometry.

Computed properties:
- VASP energy: -6.135 eV/atom
- Magnetic moment: 2.06 μB/f.u.

POSCAR file:
```
TiCo2H
1.0
-1.950 -0.832 1.555
-0.964 -2.430 -0.286
3.595 -3.425 4.896
H Ti Co
1 1 2
Direct
0.500 0.500 0.500
0.000 0.000 0.000
0.115 0.115 0.654
0.885 0.885 0.346
```

A plane-wave DFT calculation with GGA-PBE was carried out for crystalline TiCo2H at its relaxed geometry.

Computed properties:
- VASP energy: -6.053 eV/atom
- Magnetic moment: 0.00 μB/f.u.

POSCAR file:
```
TiCo2H
1.0
2.456 2.141 2.116
-0.508 0.314 3.839
2.483 -1.731 2.436
Co Ti H
2 1 1
Direct
0.750 0.750 0.750
0.250 0.250 0.250
0.500 0.500 0.500
0.000 0.000 0.000
```

A plane-wave DFT calculation with GGA-PBE was carried out for crystalline Ti3CoH3 at its relaxed geometry.

Computed properties:
- VASP energy: -6.139 eV/atom
- Magnetic moment: 0.00 μB/f.u.

POSCAR file:
```
Ti3CoH3
1.0
4.067 0.000 0.000
0.000 5.897 0.465
0.000 -2.534 5.345
H Ti Co
6 6 2
Direct
0.250 0.369 0.207
0.250 0.793 0.631
0.250 0.920 0.080
0.750 0.631 0.793
0.750 0.080 0.920
0.750 0.207 0.369
0.750 0.843 0.594
0.750 0.884 0.116
0.750 0.406 0.157
0.250 0.157 0.406
0.250 0.594 0.843
0.250 0.116 0.884
0.750 0.325 0.675
0.250 0.675 0.325
```

A plane-wave DFT calculation with GGA-PBE was carried out for crystalline Ti3Co5H12 at its relaxed geometry.

Computed properties:
- VASP energy: -5.127 eV/atom
- Magnetic moment: 5.81 μB/f.u.

POSCAR file:
```
Ti3Co5H12
1.0
8.930 0.000 0.000
-2.977 8.419 0.000
-2.977 -4.210 7.291
H Ti Co
48 12 20
Direct
0.913 0.083 0.873
0.290 0.417 0.830
0.913 0.830 0.540
0.087 0.170 0.460
0.540 0.210 0.127
0.873 0.583 0.913
0.917 0.087 0.627
0.127 0.710 0.540
0.330 0.540 0.413
0.417 0.290 0.330
0.210 0.670 0.083
0.087 0.917 0.127
0.670 0.210 0.583
0.330 0.790 0.417
0.170 0.083 0.710
0.670 0.460 0.587
0.710 0.583 0.170
0.587 0.960 0.670
0.960 0.373 0.290
0.583 0.710 0.670
0.083 0.170 0.210
0.413 0.040 0.330
0.540 0.330 0.913
0.127 0.417 0.087
0.040 0.413 0.830
0.583 0.873 0.413
0.710 0.127 0.040
0.790 0.330 0.917
0.413 0.373 0.583
0.830 0.913 0.040
0.170 0.087 0.960
0.627 0.587 0.917
0.460 0.790 0.873
0.373 0.960 0.790
0.083 0.913 0.373
0.290 0.873 0.960
0.417 0.127 0.587
0.040 0.627 0.710
0.960 0.587 0.170
0.790 0.460 0.373
0.873 0.290 0.460
0.917 0.830 0.790
0.373 0.413 0.083
0.627 0.040 0.210
0.210 0.540 0.627
0.830 0.917 0.290
0.587 0.627 0.417
0.460 0.670 0.087
0.750 0.375 0.125
0.375 0.750 0.625
0.625 0.250 0.375
0.250 0.625 0.875
0.250 0.125 0.375
0.875 0.125 0.250
0.125 0.250 0.875
0.375 0.625 0.250
0.125 0.875 0.750
0.625 0.375 0.750
0.750 0.875 0.625
0.875 0.750 0.125
0.500 0.500 0.000
0.750 0.625 0.375
0.375 0.250 0.125
0.750 0.125 0.875
0.250 0.875 0.125
0.625 0.875 0.250
0.500 0.500 0.500
0.125 0.750 0.375
0.000 0.500 0.000
0.000 0.000 0.500
0.875 0.625 0.750
0.500 0.000 0.500
0.625 0.750 0.875
0.500 0.000 0.000
0.375 0.125 0.750
0.250 0.375 0.625
0.000 0.500 0.500
0.125 0.375 0.250
0.000 0.000 0.000
0.875 0.250 0.625
```

A plane-wave DFT calculation with GGA-PBE was carried out for crystalline TiCoH4 at its relaxed geometry.

Computed properties:
- VASP energy: -4.777 eV/atom
- Magnetic moment: 0.32 μB/f.u.

POSCAR file:
```
TiCoH4
1.0
-1.532 3.207 3.240
-3.669 -2.864 -1.211
3.565 -2.628 1.873
Ti H Co
2 8 2
Direct
0.248 0.248 0.000
0.998 0.498 0.500
0.722 0.422 0.701
0.722 0.021 0.299
0.694 0.521 0.173
0.172 0.972 0.201
0.271 0.597 0.327
0.771 0.972 0.799
0.347 0.521 0.827
0.271 0.944 0.673
0.517 0.017 0.500
0.767 0.767 0.000
```

A plane-wave DFT calculation with GGA-PBE was carried out for crystalline Ti2VCoH at its relaxed geometry.

Computed properties:
- VASP energy: -7.245 eV/atom
- Magnetic moment: 1.55 μB/f.u.

POSCAR file:
```
Ti2VCoH
1.0
-1.855 -3.774 -0.488
3.766 -1.743 -0.838
0.424 -0.622 3.200
Co Ti H V
1 2 1 1
Direct
0.000 0.000 0.500
0.000 0.500 0.000
0.500 0.000 0.000
0.000 0.000 0.000
0.500 0.500 0.500
```

A plane-wave DFT calculation with GGA-PBE was carried out for crystalline TiVCo2H at its relaxed geometry.

Computed properties:
- VASP energy: -7.058 eV/atom
- Magnetic moment: 0.34 μB/f.u.

POSCAR file:
```
TiVCo2H
1.0
-1.482 -2.002 2.709
-2.543 -1.275 -2.333
2.272 -2.894 -0.895
H V Co Ti
1 1 2 1
Direct
0.000 0.000 0.000
0.500 0.500 0.500
0.500 0.000 0.000
0.000 0.500 0.000
0.000 0.000 0.500
```

A plane-wave DFT calculation with GGA-PBE was carried out for crystalline TiVCo2H at its relaxed geometry.

Computed properties:
- VASP energy: -7.067 eV/atom
- Magnetic moment: 0.51 μB/f.u.

POSCAR file:
```
TiVCo2H
1.0
-1.583 -1.965 2.709
0.723 -3.126 -1.846
3.304 -0.263 1.740
Co H Ti V
2 1 1 1
Direct
0.500 0.000 0.000
0.000 0.500 0.000
0.000 0.000 0.000
0.500 0.500 0.500
0.000 0.000 0.500
```

A plane-wave DFT calculation with GGA-PBE was carried out for crystalline TiV2CoH at its relaxed geometry.

Computed properties:
- VASP energy: -7.398 eV/atom
- Magnetic moment: 0.03 μB/f.u.

POSCAR file:
```
TiV2CoH
1.0
3.610 0.000 0.000
0.000 3.610 0.000
0.000 0.000 4.295
Ti H V Co
1 1 2 1
Direct
0.000 0.000 0.500
0.000 0.000 0.000
0.000 0.500 0.000
0.500 0.000 0.000
0.500 0.500 0.500
```

A plane-wave DFT calculation with GGA-PBE was carried out for crystalline Ti2VCoH at its relaxed geometry.

Computed properties:
- VASP energy: -7.246 eV/atom
- Magnetic moment: 0.00 μB/f.u.

POSCAR file:
```
Ti2VCoH
1.0
4.194 0.000 0.000
0.000 4.194 0.000
0.000 0.000 3.333
Ti Co H V
2 1 1 1
Direct
0.000 0.500 0.000
0.500 0.000 0.000
0.500 0.500 0.500
0.000 0.000 0.000
0.000 0.000 0.500
```